Zn3CdSi2Ir2 | PBE | optimized geometry

```
data_Zn3CdSi2Ir2
_chemical_formula_sum 'Zn3 Cd1 Si2 Ir2'
_cell_length_a 4.1072
_cell_length_b 4.1072
_cell_length_c 8.6240
_cell_angle_alpha 90.00
_cell_angle_beta 90.00
_cell_angle_gamma 120.00
_space_group_name_H-M_alt 'P 1'
_space_group_IT_number 1
loop_
_space_group_symop_operation_xyz
'x,y,z'
loop_
_atom_site_label
_atom_site_type_symbol
_atom_site_fract_x
_atom_site_fract_y
_atom_site_fract_z
_atom_site_occupancy
Zn1 Zn 0.0000 0.0000 0.0000 1
Zn2 Zn 0.0000 0.0000 0.3385 1
Zn3 Zn 0.6667 0.3333 0.4779 1
Cd1 Cd 0.6667 0.3333 0.8412 1
Si1 Si 0.3333 0.6667 0.1681 1
Si2 Si 0.3333 0.6667 0.6431 1
Ir1 Ir 0.0000 0.0000 0.6477 1
Ir2 Ir 0.6667 0.3333 0.1689 1
```

Electronic total energy   -36.00 eV for the cell shown
Size of the total moment   0.0 μB per formula unit
Symmetry   P3m1, No. 156